The following is a DFT calculation (PBE+U) of an optimized crystal structure of CrBrO2.

Output
The calculation puts the energy above the most stable polymorph in this dataset at 0.0 meV/atom. The calculation puts the volume at 14.98 A^3/atom.

a b c (Å): 2.9424 2.9424 23.9824
angles (deg): 90.00 90.00 120.00
Space group R-3m (No. 166, hexagonal axes)
Symmetry-distinct sites (fractional):
Cr  0.0000  0.0000  0.0000 x3
Br  0.0000  0.0000  0.5000 x3
O  0.0000  0.0000  0.3732 x6